# 1
CaBi3Pb after structural relaxation, computed with PBE.

Cell lengths 8.8695, 6.8280, 11.3641 Å; angles 90.00, 90.00, 90.00 degrees
Positions (direct):
Bi 0.7500 0.5613 0.2685
Bi 0.2500 0.1139 0.9288
Bi 0.7500 0.0613 0.7315
Bi 0.7500 0.8861 0.0712
Bi 0.2500 0.4387 0.7315
Bi 0.2500 0.6139 0.0712
Bi 0.2500 0.9387 0.2685
Bi 0.5000 0.7500 0.4433
Bi 0.0000 0.2500 0.5567
Bi 0.7500 0.3861 0.9288
Bi 0.0000 0.7500 0.4433
Bi 0.5000 0.2500 0.5567
Ca 0.7500 0.5729 0.6491
Ca 0.7500 0.0729 0.3509
Ca 0.2500 0.9271 0.6491
Ca 0.2500 0.4271 0.3509
Pb 0.5000 0.7500 0.8809
Pb 0.0000 0.7500 0.8809
Pb 0.5000 0.2500 0.1191
Pb 0.0000 0.2500 0.1191

**Space-group type**: Pbcm

***

# 2
CsMg2Cd2 after structural relaxation, computed with PBE.

Cell lengths 5.0272, 5.0272, 7.5050 Å; angles 70.43, 70.43, 90.00 degrees
Positions (direct):
Cd 0.6205 0.6205 0.7590
Cd 0.3795 0.3795 0.2410
Mg 0.2500 0.7500 0.5000
Mg 0.7500 0.2500 0.5000
Cs 0.0000 0.0000 0.0000

**Space-group type**: I4/mmm

***

# 3
K3FeHg after structural relaxation, computed with PBE.

Cell lengths 6.3754, 6.3754, 6.3754 Å; angles 90.00, 90.00, 90.00 degrees
Site moments in Bohr magnetons follow the coordinates.
Positions (direct):
K 0.0000 0.5000 0.0000  0.00
K 0.0000 0.0000 0.5000  -0.01
K 0.5000 0.0000 0.0000  0.00
Hg 0.5000 0.5000 0.5000  -0.01
Fe 0.0000 0.0000 0.0000  2.79

**Space-group type**: Pm-3m

***

We obtain relative energy among the computed polymorphs values of 0 0 0 meV/atom for the records listed above, in that order.
We obtain E_form values of -195 32 700 meV per atom for the records listed above, in that order.
We obtain magnetic moment values of 0.000 0.000 0.548 μB per atom for the records listed above, in that order.